# TlAg2W, relaxed, DFT PBEsol
data_TlAg2W
_chemical_formula_sum 'Tl1 Ag2 W1'
_cell_length_a 5.719
_cell_length_b 5.719
_cell_length_c 5.719
_cell_angle_alpha 150.87
_cell_angle_beta 127.67
_cell_angle_gamma 61.01
_symmetry_space_group_name_H-M 'P 1'
_symmetry_Int_Tables_number 1
loop_
_symmetry_equiv_pos_as_xyz
'x,y,z'
loop_
_atom_site_label
_atom_site_fract_x
_atom_site_fract_y
_atom_site_fract_z
Tl1 0.000 0.000 0.000
Ag1 0.252 0.752 0.500
Ag2 0.496 0.496 0.000
W1 0.744 0.244 0.500
# **Energy of formation from the pure elements**: 0.7804 eV per atom
# **Theoretical density**: 14.03 Mg/m³
# **Energy relative to the lowest polymorph listed for this composition**: 0.44 eV/f.u.